(1)
4
Lattice="2.776 -3.919 0.000 2.776 3.919 0.000 0.000 0.000 2.810" Properties=species:S:1:pos:R:3 comment="TaTcOs2, relaxed, DFT PBE" polymorph_energy_kj_per_mol_atoms=4.9 sg=Cmmm ef_ev_per_atom=-0.049 pbc="T T T"
Ta 0.000 0.000 0.000
Tc 2.776 0.000 0.000
Os 1.388 1.960 1.405
Os 1.388 -1.960 1.405

***

(2)
4
Lattice="3.242 0.000 0.000 0.000 3.242 0.000 0.000 0.000 5.962" Properties=species:S:1:pos:R:3 comment="TaTcOs2, relaxed, DFT PBE" polymorph_energy_kj_per_mol_atoms=26.6 sg=P4mm ef_ev_per_atom=0.176 pbc="T T T"
Ta 0.000 0.000 0.000
Tc 1.621 1.621 1.687
Os 0.000 0.000 2.852
Os 1.621 1.621 4.566